Entry 1:
DFT (GGA-PBE) results for crystalline La4Ir at its relaxed geometry.

a b c (Å): 8.0434 8.0434 8.0434
angles (deg): 60.00 60.00 60.00
Atoms (fractional coordinates):
1 La 0.2146 0.7618 0.7618
2 La 0.2382 0.2382 0.2382
3 La 0.2382 0.2382 0.7854
4 La 0.2382 0.7854 0.2382
5 La 0.7618 0.2146 0.7618
6 La 0.7618 0.7618 0.2146
7 La 0.7618 0.7618 0.7618
8 La 0.7854 0.2382 0.2382
9 Ir 0.3750 0.3750 0.3750
10 Ir 0.6250 0.6250 0.6250

Computed properties:
offset from the most stable computed form = 301 meV per atom
DOS at the Fermi energy = 14.81 states/eV/cell
magnetization = 0.0 μB per cell


Entry 2:
DFT (GGA-PBE) results for crystalline La2Ir7 at its relaxed geometry.

a b c (Å): 13.6070 13.6070 13.6070
angles (deg): 22.88 22.88 22.88
Atoms (fractional coordinates):
1 La 0.0504 0.0504 0.0504
2 La 0.1476 0.1476 0.1476
3 La 0.8524 0.8524 0.8524
4 La 0.9496 0.9496 0.9496
5 Ir 0.0000 0.5000 0.5000
6 Ir 0.1107 0.6077 0.6077
7 Ir 0.2779 0.2779 0.2779
8 Ir 0.3881 0.3881 0.3881
9 Ir 0.3923 0.3923 0.8893
10 Ir 0.3923 0.8893 0.3923
11 Ir 0.5000 0.0000 0.5000
12 Ir 0.5000 0.5000 0.0000
13 Ir 0.5000 0.5000 0.5000
14 Ir 0.6077 0.1107 0.6077
15 Ir 0.6077 0.6077 0.1107
16 Ir 0.6119 0.6119 0.6119
17 Ir 0.7221 0.7221 0.7221
18 Ir 0.8893 0.3923 0.3923

Computed properties:
offset from the most stable computed form = 5 meV per atom
DOS at the Fermi energy = 17.10 states/eV/cell
magnetization = 0.0 μB per cell